1.
FeIrBrF2 after structural relaxation. Source: Alexandria via LeMat-Bulk, functional PBEsol. Values from VASP.

Quantum ESPRESSO input file:
```
&SYSTEM
  ibrav = 0, nat = 5, ntyp = 4
/
ATOMIC_SPECIES
Fe 55.84 Fe.upf
Ir 192.22 Ir.upf
Br 79.90 Br.upf
F 19.00 F.upf
CELL_PARAMETERS angstrom
4.021 0.000 0.000
0.000 4.021 0.000
0.000 0.000 5.244
ATOMIC_POSITIONS crystal
Fe 0.000 0.000 0.000
Ir 0.500 0.500 0.500
Br 0.500 0.500 0.000
F 0.000 0.500 0.500
F 0.500 0.000 0.500
```

Output
DOS(E_F) = 9.0 states/eV/f.u.
ΔE_f (raw) = 3.31 kcal/mol of atoms
magnetization = 3.48 μB/cell
VASP energy = -23.8 eV for the cell shown

---

2.
Ga2BrF after structural relaxation. Source: Alexandria via LeMat-Bulk, functional PBEsol. Values from VASP.

Quantum ESPRESSO input file:
```
&SYSTEM
  ibrav = 0, nat = 4, ntyp = 3
/
ATOMIC_SPECIES
Ga 69.72 Ga.upf
Br 79.90 Br.upf
F 19.00 F.upf
CELL_PARAMETERS angstrom
0.000 3.449 3.449
3.449 0.000 3.449
3.449 3.449 0.000
ATOMIC_POSITIONS crystal
Ga 0.250 0.250 0.250
Ga 0.750 0.750 0.750
Br 0.000 0.000 0.000
F 0.500 0.500 0.500
```

Output
DOS(E_F) = 0.0 states/eV/f.u.
ΔE_f (raw) = -16.99 kcal/mol of atoms
magnetization = 0.00 μB/cell
VASP energy = -13.4 eV for the cell shown

---

3.
NbGaBr2F after structural relaxation. Source: Alexandria via LeMat-Bulk, functional PBEsol. Values from VASP.

Quantum ESPRESSO input file:
```
&SYSTEM
  ibrav = 0, nat = 5, ntyp = 4
/
ATOMIC_SPECIES
Nb 92.91 Nb.upf
Ga 69.72 Ga.upf
Br 79.90 Br.upf
F 19.00 F.upf
CELL_PARAMETERS angstrom
5.360 0.000 0.000
0.000 5.360 0.000
0.000 0.000 3.793
ATOMIC_POSITIONS crystal
Nb 0.000 0.000 0.000
Ga 0.500 0.500 0.000
Br 0.000 0.500 0.500
Br 0.500 0.000 0.500
F 0.500 0.500 0.500
```

Output
DOS(E_F) = 2.9 states/eV/f.u.
ΔE_f (raw) = 2.13 kcal/mol of atoms
magnetization = 3.26 μB/cell
VASP energy = -19.4 eV for the cell shown

---

4.
GaOsBrF2 after structural relaxation. Source: Alexandria via LeMat-Bulk, functional PBEsol. Values from VASP.

Quantum ESPRESSO input file:
```
&SYSTEM
  ibrav = 0, nat = 5, ntyp = 4
/
ATOMIC_SPECIES
Ga 69.72 Ga.upf
Os 190.23 Os.upf
Br 79.90 Br.upf
F 19.00 F.upf
CELL_PARAMETERS angstrom
3.765 0.000 0.000
0.000 3.765 0.000
0.000 0.000 5.406
ATOMIC_POSITIONS crystal
Ga 0.000 0.000 0.000
Os 0.000 0.000 0.500
Br 0.500 0.500 0.500
F 0.000 0.500 0.000
F 0.500 0.000 0.000
```

Output
DOS(E_F) = 3.5 states/eV/f.u.
ΔE_f (raw) = -10.25 kcal/mol of atoms
magnetization = 1.32 μB/cell
VASP energy = -23.5 eV for the cell shown

---

5.
GaSe2BrF after structural relaxation. Source: Alexandria via LeMat-Bulk, functional PBEsol. Values from VASP.

Quantum ESPRESSO input file:
```
&SYSTEM
  ibrav = 0, nat = 5, ntyp = 4
/
ATOMIC_SPECIES
Ga 69.72 Ga.upf
Se 78.96 Se.upf
Br 79.90 Br.upf
F 19.00 F.upf
CELL_PARAMETERS angstrom
4.294 0.000 0.000
0.000 4.294 0.000
0.000 0.000 6.172
ATOMIC_POSITIONS crystal
Ga 0.000 0.000 0.000
Se 0.000 0.500 0.500
Se 0.500 0.000 0.500
Br 0.500 0.500 0.000
F 0.500 0.500 0.500
```

Output
DOS(E_F) = 4.6 states/eV/f.u.
ΔE_f (raw) = 1.10 kcal/mol of atoms
magnetization = 0.00 μB/cell
VASP energy = -14.6 eV for the cell shown

---

6.
GaTeBrF2 after structural relaxation. Source: Alexandria via LeMat-Bulk, functional PBEsol. Values from VASP.

Quantum ESPRESSO input file:
```
&SYSTEM
  ibrav = 0, nat = 5, ntyp = 4
/
ATOMIC_SPECIES
Ga 69.72 Ga.upf
Te 127.60 Te.upf
Br 79.90 Br.upf
F 19.00 F.upf
CELL_PARAMETERS angstrom
4.072 0.000 0.000
0.000 4.072 0.000
0.000 0.000 5.583
ATOMIC_POSITIONS crystal
Ga 0.000 0.000 0.000
Te 0.000 0.000 0.500
Br 0.500 0.500 0.500
F 0.000 0.500 0.000
F 0.500 0.000 0.000
```

Output
DOS(E_F) = 1.0 states/eV/f.u.
ΔE_f (raw) = -29.42 kcal/mol of atoms
magnetization = 0.00 μB/cell
VASP energy = -19.0 eV for the cell shown

---

7.
GaWBr2F after structural relaxation. Source: Alexandria via LeMat-Bulk, functional PBEsol. Values from VASP.

Quantum ESPRESSO input file:
```
&SYSTEM
  ibrav = 0, nat = 5, ntyp = 4
/
ATOMIC_SPECIES
Ga 69.72 Ga.upf
W 183.84 W.upf
Br 79.90 Br.upf
F 19.00 F.upf
CELL_PARAMETERS angstrom
5.601 0.000 0.000
0.000 5.601 0.000
0.000 0.000 3.875
ATOMIC_POSITIONS crystal
Ga 0.000 0.000 0.000
W 0.500 0.500 0.000
Br 0.000 0.500 0.500
Br 0.500 0.000 0.500
F 0.500 0.500 0.500
```

Output
DOS(E_F) = 2.5 states/eV/f.u.
ΔE_f (raw) = 5.30 kcal/mol of atoms
magnetization = 4.00 μB/cell
VASP energy = -21.7 eV for the cell shown

---

8.
GeBr2F after structural relaxation. Source: Alexandria via LeMat-Bulk, functional PBEsol. Values from VASP.

Quantum ESPRESSO input file:
```
&SYSTEM
  ibrav = 0, nat = 4, ntyp = 3
/
ATOMIC_SPECIES
Ge 72.64 Ge.upf
Br 79.90 Br.upf
F 19.00 F.upf
CELL_PARAMETERS angstrom
0.000 3.312 3.312
3.312 0.000 3.312
3.312 3.312 0.000
ATOMIC_POSITIONS crystal
Ge 0.000 0.000 0.000
Br 0.250 0.250 0.250
Br 0.750 0.750 0.750
F 0.500 0.500 0.500
```

Output
DOS(E_F) = 5.2 states/eV/f.u.
ΔE_f (raw) = -8.18 kcal/mol of atoms
magnetization = 0.00 μB/cell
VASP energy = -12.0 eV for the cell shown

---

9.
HSe2BrF after structural relaxation. Source: Alexandria via LeMat-Bulk, functional PBEsol. Values from VASP.

Quantum ESPRESSO input file:
```
&SYSTEM
  ibrav = 0, nat = 5, ntyp = 4
/
ATOMIC_SPECIES
H 1.01 H.upf
Se 78.96 Se.upf
Br 79.90 Br.upf
F 19.00 F.upf
CELL_PARAMETERS angstrom
4.314 0.000 0.000
0.000 4.314 0.000
0.000 0.000 5.612
ATOMIC_POSITIONS crystal
H 0.000 0.000 0.000
Se 0.000 0.500 0.500
Se 0.500 0.000 0.500
Br 0.500 0.500 0.000
F 0.500 0.500 0.500
```

Output
DOS(E_F) = 5.6 states/eV/f.u.
magnetization = 0.52 μB/cell
VASP energy = -10.8 eV for the cell shown

---

10.
HfBr2F after structural relaxation. Source: Alexandria via LeMat-Bulk, functional PBEsol. Values from VASP.

Quantum ESPRESSO input file:
```
&SYSTEM
  ibrav = 0, nat = 4, ntyp = 3
/
ATOMIC_SPECIES
Hf 178.49 Hf.upf
Br 79.90 Br.upf
F 19.00 F.upf
CELL_PARAMETERS angstrom
1.784 1.030 8.402
-1.784 1.030 8.402
0.000 -2.060 8.402
ATOMIC_POSITIONS crystal
Hf 0.000 0.000 0.000
Br 0.096 0.096 0.096
Br 0.904 0.904 0.904
F 0.500 0.500 0.500
```

Output
DOS(E_F) = 4.9 states/eV/f.u.
ΔE_f (raw) = -8.49 kcal/mol of atoms
magnetization = 0.65 μB/cell
VASP energy = -17.6 eV for the cell shown

---

11.
HfPb2BrF after structural relaxation. Source: Alexandria via LeMat-Bulk, functional PBEsol. Values from VASP.

Quantum ESPRESSO input file:
```
&SYSTEM
  ibrav = 0, nat = 5, ntyp = 4
/
ATOMIC_SPECIES
Hf 178.49 Hf.upf
Pb 207.20 Pb.upf
Br 79.90 Br.upf
F 19.00 F.upf
CELL_PARAMETERS angstrom
5.706 0.000 0.000
0.000 5.706 0.000
0.000 0.000 3.972
ATOMIC_POSITIONS crystal
Hf 0.000 0.000 0.000
Pb 0.000 0.500 0.500
Pb 0.500 0.000 0.500
Br 0.500 0.500 0.000
F 0.000 0.000 0.500
```

Output
DOS(E_F) = 4.1 states/eV/f.u.
ΔE_f (raw) = -8.88 kcal/mol of atoms
magnetization = 0.00 μB/cell
VASP energy = -24.2 eV for the cell shown

---

12.
HfPtBr2F after structural relaxation. Source: Alexandria via LeMat-Bulk, functional PBEsol. Values from VASP.

Quantum ESPRESSO input file:
```
&SYSTEM
  ibrav = 0, nat = 5, ntyp = 4
/
ATOMIC_SPECIES
Hf 178.49 Hf.upf
Pt 195.08 Pt.upf
Br 79.90 Br.upf
F 19.00 F.upf
CELL_PARAMETERS angstrom
5.023 0.000 0.000
0.000 5.023 0.000
0.000 0.000 3.905
ATOMIC_POSITIONS crystal
Hf 0.000 0.000 0.000
Pt 0.500 0.500 0.000
Br 0.000 0.500 0.500
Br 0.500 0.000 0.500
F 0.000 0.000 0.500
```

Output
DOS(E_F) = 2.6 states/eV/f.u.
ΔE_f (raw) = -6.11 kcal/mol of atoms
magnetization = 0.00 μB/cell
VASP energy = -24.5 eV for the cell shown